This record from Alexandria via LeMat-Bulk describes an optimized crystal structure of Rb2NiIrO4. The functional is PBE+U.

Cell lengths 5.6360, 13.8645, 19.0667 Å; angles 90.00, 90.00, 90.00 degrees
Closest atoms and distances in Å follow each position.
Space group Fddd (No. 70, origin choice 2)
One atom of each set of equivalent atoms:
Rb1 0.1250 0.1250 0.2918 x16  2 O 2.72
Ni1 0.1250 0.1250 0.1250 x8  4 O 1.88
Ir1 0.1250 0.1250 0.6250 x8  4 O 1.93
O1 0.1194 0.2827 0.3764 x32  1 Ni 1.88, 1 Ir 1.93

Values from the calculation:
- Raw total energy: -40.78 eV/f.u.